A relaxed ReMo2Au crystal. Source: the Alexandria database, functional PBE.

Unit cell a=2.8099 b=2.8099 c=28.2414 alpha=90.00 beta=90.00 gamma=120.00
Last column: nearest neighbours and their distance in Å.
Space group R-3m (No. 166, hexagonal axes)
Inequivalent atoms, fractional coordinates:
Re (0.0000, 0.0000, 0.0000) (multiplicity 3)  6 Mo 2.76, 6 Re 2.81
Mo (0.0000, 0.0000, 0.2543) (multiplicity 6)  3 Re 2.76, 6 Mo 2.81, 3 Au 2.96
Au (0.0000, 0.0000, 0.5000) (multiplicity 3)  6 Au 2.81, 6 Mo 2.96

Calculated values
Its magnetization is 0.0000 μB/atom. As for the density of states at the Fermi level: 4.70 states/eV/f.u. The value obtained for the energy relative to the elements is 0.25 eV per atom.